Record 1
CdIN2F: relaxed, GGA-PBE.

```
CdIN2F
1.0
4.346 0.000 0.000
0.000 4.346 0.000
0.000 0.000 6.350
Cd I N F
1 1 2 1
Cartesian
0.000 0.000 0.000 Cd
0.000 0.000 3.175 I
0.000 2.173 0.000 N
2.173 0.000 0.000 N
2.173 2.173 3.175 F
```

Calculated values
ΔE to the lowest computed polymorph, meV per atom: 370
ρ, Mg/m³: 3.965
Uncorrected energy, eV per cell: -13.6
Density of states at the Fermi level, states/eV per cell: 1.76
Space group: No. 123



Record 2
CdINF2: relaxed, GGA-PBE.

```
CdINF2
1.0
4.842 0.000 0.000
0.000 4.842 0.000
0.000 0.000 4.033
Cd I N F
1 1 1 2
Cartesian
0.000 0.000 0.000 Cd
2.421 2.421 2.017 I
2.421 2.421 0.000 N
0.000 2.421 2.017 F
2.421 0.000 2.017 F
```

Calculated values
ΔE to the lowest computed polymorph, meV per atom: 179
ρ, Mg/m³: 5.115
Uncorrected energy, eV per cell: -14.0
Density of states at the Fermi level, states/eV per cell: 3.13
Space group: No. 123



Record 3
CdINF2: relaxed, GGA-PBE.

```
CdINF2
1.0
4.157 0.000 0.000
0.000 4.157 0.000
0.000 0.000 5.474
Cd I N F
1 1 1 2
Cartesian
0.000 0.000 0.000 Cd
2.079 2.079 2.737 I
0.000 0.000 2.737 N
0.000 2.079 0.000 F
2.079 0.000 0.000 F
```

Calculated values
ΔE to the lowest computed polymorph, meV per atom: 0
ρ, Mg/m³: 5.114
Uncorrected energy, eV per cell: -14.9
Density of states at the Fermi level, states/eV per cell: 1.94
Space group: No. 123



Record 4
CdI2NF: relaxed, GGA-PBE.

```
CdI2NF
1.0
6.053 0.000 0.000
0.000 6.053 0.000
0.000 0.000 4.270
Cd I N F
1 2 1 1
Cartesian
0.000 0.000 0.000 Cd
0.000 3.027 0.000 I
3.027 0.000 0.000 I
3.027 3.027 2.135 N
0.000 0.000 2.135 F
```

Calculated values
ΔE to the lowest computed polymorph, meV per atom: 0
ρ, Mg/m³: 4.237
Uncorrected energy, eV per cell: -12.0
Density of states at the Fermi level, states/eV per cell: 6.10
Space group: No. 123



Record 5
CdIN2F: relaxed, GGA-PBE.

```
CdIN2F
1.0
4.559 0.000 0.000
0.000 4.559 0.000
0.000 0.000 4.338
Cd I N F
1 1 2 1
Cartesian
0.000 0.000 0.000 Cd
2.280 2.280 2.169 I
0.000 2.280 0.000 N
2.280 0.000 0.000 N
0.000 0.000 2.169 F
```

Calculated values
ΔE to the lowest computed polymorph, meV per atom: 112
ρ, Mg/m³: 5.273
Uncorrected energy, eV per cell: -14.9
Density of states at the Fermi level, states/eV per cell: 3.76
Space group: No. 123



Record 6
CdIN2F: relaxed, GGA-PBE.

```
CdIN2F
1.0
4.148 0.000 0.000
0.000 4.148 0.000
0.000 0.000 4.554
Cd I N F
1 1 2 1
Cartesian
0.000 0.000 0.000 Cd
2.074 2.074 2.277 I
0.000 2.074 2.277 N
2.074 0.000 2.277 N
2.074 2.074 0.000 F
```

Calculated values
ΔE to the lowest computed polymorph, meV per atom: 0
ρ, Mg/m³: 6.067
Uncorrected energy, eV per cell: -15.4
Density of states at the Fermi level, states/eV per cell: 2.67
Space group: No. 123



Record 7
CdI2NF: relaxed, GGA-PBE.

```
CdI2NF
1.0
5.976 0.000 0.000
0.000 5.976 0.000
0.000 0.000 4.282
Cd I N F
1 2 1 1
Cartesian
0.000 0.000 0.000 Cd
0.000 2.988 0.000 I
2.988 0.000 0.000 I
0.000 0.000 2.141 N
2.988 2.988 2.141 F
```

Calculated values
ΔE to the lowest computed polymorph, meV per atom: 292
ρ, Mg/m³: 4.335
Uncorrected energy, eV per cell: -10.5
Density of states at the Fermi level, states/eV per cell: 5.71
Space group: No. 123



Record 8
CdI2NF: relaxed, GGA-PBE.

```
CdI2NF
1.0
5.670 0.000 0.000
0.000 5.670 0.000
0.000 0.000 3.961
Cd I N F
1 2 1 1
Cartesian
0.000 0.000 0.000 Cd
0.000 2.835 1.981 I
2.835 0.000 1.981 I
2.835 2.835 0.000 N
2.835 2.835 1.981 F
```

Calculated values
ΔE to the lowest computed polymorph, meV per atom: 468
ρ, Mg/m³: 5.206
Uncorrected energy, eV per cell: -9.6
Density of states at the Fermi level, states/eV per cell: 3.69
Space group: No. 123



Record 9
CdIN2F: relaxed, GGA-PBE.

```
CdIN2F
1.0
4.897 0.000 0.000
0.000 4.897 0.000
0.000 0.000 4.437
Cd I N F
1 1 2 1
Cartesian
0.000 0.000 0.000 Cd
2.449 2.449 0.000 I
0.000 2.449 2.218 N
2.449 0.000 2.218 N
2.449 2.449 2.218 F
```

Calculated values
ΔE to the lowest computed polymorph, meV per atom: 712
ρ, Mg/m³: 4.468
Uncorrected energy, eV per cell: -11.9
Density of states at the Fermi level, states/eV per cell: 1.16
Space group: No. 123



Record 10
CdIOF2: relaxed, GGA-PBE.

```
CdIOF2
1.0
4.952 0.000 0.000
0.000 4.952 0.000
0.000 0.000 4.002
Cd I O F
1 1 1 2
Cartesian
0.000 0.000 0.000 Cd
2.476 2.476 2.001 I
2.476 2.476 0.000 O
0.000 2.476 2.001 F
2.476 0.000 2.001 F
```

Calculated values
ΔE to the lowest computed polymorph, meV per atom: 176
ρ, Mg/m³: 4.963
Uncorrected energy, eV per cell: -13.7
Density of states at the Fermi level, states/eV per cell: 4.35
Space group: No. 123



Record 11
CdIO2F: relaxed, GGA-PBE.

```
CdIO2F
1.0
4.354 0.000 0.000
0.000 4.354 0.000
0.000 0.000 4.268
Cd I O F
1 1 2 1
Cartesian
0.000 0.000 0.000 Cd
2.177 2.177 2.134 I
0.000 2.177 0.000 O
2.177 0.000 0.000 O
0.000 0.000 2.134 F
```

Calculated values
ρ, Mg/m³: 5.959
Uncorrected energy, eV per cell: -14.8
Density of states at the Fermi level, states/eV per cell: 3.57
Space group: No. 123



Record 12
CdI2OF: relaxed, GGA-PBE.

```
CdI2OF
1.0
5.994 0.000 0.000
0.000 5.994 0.000
0.000 0.000 4.097
Cd I O F
1 2 1 1
Cartesian
0.000 0.000 0.000 Cd
0.000 2.997 0.000 I
2.997 0.000 0.000 I
0.000 0.000 2.049 O
2.997 2.997 2.049 F
```

Calculated values
ΔE to the lowest computed polymorph, meV per atom: 0
ρ, Mg/m³: 4.526
Uncorrected energy, eV per cell: -10.4
Density of states at the Fermi level, states/eV per cell: 7.20
Space group: No. 123



Record 13
CdIO2F: relaxed, GGA-PBE.

```
CdIO2F
1.0
4.019 0.000 0.000
0.000 4.019 0.000
0.000 0.000 6.013
Cd I O F
1 1 2 1
Cartesian
0.000 0.000 0.000 Cd
2.009 2.009 3.006 I
0.000 2.009 3.006 O
2.009 0.000 3.006 O
2.009 2.009 0.000 F
```

Calculated values
ρ, Mg/m³: 4.964
Uncorrected energy, eV per cell: -15.9
Density of states at the Fermi level, states/eV per cell: 2.19
Space group: No. 123



Record 14
CdIOF2: relaxed, GGA-PBE.

```
CdIOF2
1.0
4.221 0.000 0.000
0.000 4.221 0.000
0.000 0.000 4.954
Cd I O F
1 1 1 2
Cartesian
0.000 0.000 0.000 Cd
2.111 2.111 2.477 I
0.000 0.000 2.477 O
0.000 2.111 0.000 F
2.111 0.000 0.000 F
```

Calculated values
ΔE to the lowest computed polymorph, meV per atom: 0
ρ, Mg/m³: 5.517
Uncorrected energy, eV per cell: -14.6
Density of states at the Fermi level, states/eV per cell: 5.11
Space group: No. 123



Record 15
CdIO2F: relaxed, GGA-PBE.

```
CdIO2F
1.0
4.045 0.000 0.000
0.000 4.045 0.000
0.000 0.000 7.214
Cd I O F
1 1 2 1
Cartesian
0.000 0.000 0.000 Cd
0.000 0.000 3.607 I
0.000 2.023 0.000 O
2.023 0.000 0.000 O
2.023 2.023 3.607 F
```

Calculated values
ρ, Mg/m³: 4.083
Uncorrected energy, eV per cell: -13.3
Density of states at the Fermi level, states/eV per cell: 7.06
Space group: No. 123



Record 16
CdI2OF: relaxed, GGA-PBE.

```
CdI2OF
1.0
5.214 0.000 0.000
0.000 5.214 0.000
0.000 0.000 4.077
Cd I O F
1 2 1 1
Cartesian
0.000 0.000 0.000 Cd
0.000 2.607 2.039 I
2.607 0.000 2.039 I
2.607 2.607 0.000 O
2.607 2.607 2.039 F
```

Calculated values
ΔE to the lowest computed polymorph, meV per atom: 326
ρ, Mg/m³: 6.011
Uncorrected energy, eV per cell: -8.7
Density of states at the Fermi level, states/eV per cell: 3.86
Space group: No. 123



Record 17
CdIO2F: relaxed, GGA-PBE.

```
CdIO2F
1.0
4.561 0.000 0.000
0.000 4.561 0.000
0.000 0.000 4.205
Cd I O F
1 1 2 1
Cartesian
0.000 0.000 0.000 Cd
2.281 2.281 0.000 I
0.000 2.281 2.103 O
2.281 0.000 2.103 O
2.281 2.281 2.103 F
```

Calculated values
ρ, Mg/m³: 5.511
Uncorrected energy, eV per cell: -11.6
Density of states at the Fermi level, states/eV per cell: 2.34
Space group: No. 123



Record 18
Cd2OsIF: relaxed, GGA-PBE.

```
Cd2OsIF
1.0
4.439 0.000 0.000
0.000 4.439 0.000
0.000 0.000 5.461
Cd Os I F
2 1 1 1
Cartesian
0.000 2.219 0.000 Cd
2.219 0.000 0.000 Cd
0.000 0.000 2.731 Os
2.219 2.219 2.731 I
2.219 2.219 0.000 F
```

Calculated values
ρ, Mg/m³: 8.657
Uncorrected energy, eV per cell: -13.2
Density of states at the Fermi level, states/eV per cell: 3.41
Space group: No. 123



Record 19
PaCdI2F6: relaxed, GGA-PBE.

```
PaCdI2F6
1.0
6.469 0.000 0.000
0.000 6.652 0.000
-3.194 0.000 6.005
Pa Cd I F
1 1 2 6
Cartesian
0.000 0.000 0.000 Pa
3.235 3.326 0.000 Cd
0.021 3.326 3.225 I
3.255 3.326 2.779 I
-0.021 0.000 2.055 F
1.508 1.538 0.016 F
1.508 5.114 0.016 F
1.767 1.538 5.988 F
1.767 5.114 5.988 F
3.297 0.000 3.950 F
```

Calculated values
ρ, Mg/m³: 4.571
Uncorrected energy, eV per cell: -51.4
Density of states at the Fermi level, states/eV per cell: 2.34
Space group: No. 10



Record 20
RbCdI2F: relaxed, GGA-PBE.

```
RbCdI2F
1.0
6.106 0.000 0.000
0.000 6.106 0.000
0.000 0.000 4.474
Rb Cd I F
1 1 2 1
Cartesian
0.000 0.000 0.000 Rb
3.053 3.053 2.237 Cd
0.000 3.053 2.237 I
3.053 0.000 2.237 I
3.053 3.053 0.000 F
```

Calculated values
ρ, Mg/m³: 4.686
Uncorrected energy, eV per cell: -13.7
Space group: No. 123



Record 21
Cd2RuIF: relaxed, GGA-PBE.

```
Cd2RuIF
1.0
5.318 0.000 0.000
0.000 5.318 0.000
0.000 0.000 4.879
Cd Ru I F
2 1 1 1
Cartesian
0.000 2.659 0.000 Cd
2.659 0.000 0.000 Cd
0.000 0.000 0.000 Ru
0.000 0.000 2.439 I
2.659 2.659 2.439 F
```

Calculated values
ρ, Mg/m³: 5.679
Uncorrected energy, eV per cell: -14.5
Density of states at the Fermi level, states/eV per cell: 2.82
Space group: No. 123



Record 22
CdSb2IF: relaxed, GGA-PBE.

```
CdSb2IF
1.0
4.743 0.000 0.000
0.000 4.743 0.000
0.000 0.000 6.184
Cd Sb I F
1 2 1 1
Cartesian
0.000 0.000 0.000 Cd
0.000 2.371 3.092 Sb
2.371 0.000 3.092 Sb
2.371 2.371 0.000 I
2.371 2.371 3.092 F
```

Calculated values
ΔE to the lowest computed polymorph, meV per atom: 0
ρ, Mg/m³: 5.990
Uncorrected energy, eV per cell: -13.0
Density of states at the Fermi level, states/eV per cell: 3.17
Space group: No. 123



Record 23
CdSbI2F: relaxed, GGA-PBE.

```
CdSbI2F
1.0
5.721 0.000 0.000
0.000 5.721 0.000
0.000 0.000 5.692
Cd Sb I F
1 1 2 1
Cartesian
0.000 0.000 0.000 Cd
0.000 0.000 2.846 Sb
0.000 2.861 0.000 I
2.861 0.000 0.000 I
2.861 2.861 2.846 F
```

Calculated values
ΔE to the lowest computed polymorph, meV per atom: 455
ρ, Mg/m³: 4.518
Uncorrected energy, eV per cell: -9.1
Density of states at the Fermi level, states/eV per cell: 4.64
Space group: No. 123



Record 24
CdSbIF2: relaxed, GGA-PBE.

```
CdSbIF2
1.0
4.425 0.000 0.000
0.000 4.425 0.000
0.000 0.000 5.943
Cd Sb I F
1 1 1 2
Cartesian
0.000 0.000 0.000 Cd
0.000 0.000 2.971 Sb
2.212 2.212 0.000 I
0.000 2.212 2.971 F
2.212 0.000 2.971 F
```

Calculated values
ΔE to the lowest computed polymorph, meV per atom: 0
ρ, Mg/m³: 5.696
Uncorrected energy, eV per cell: -16.9
Density of states at the Fermi level, states/eV per cell: 0.46
Space group: No. 123



Record 25
CdSbIF2: relaxed, GGA-PBE.

```
CdSbIF2
1.0
4.605 0.000 0.000
0.000 4.605 0.000
0.000 0.000 6.068
Cd Sb I F
1 1 1 2
Cartesian
0.000 0.000 0.000 Cd
2.302 2.302 0.000 Sb
2.302 2.302 3.034 I
0.000 2.302 3.034 F
2.302 0.000 3.034 F
```

Calculated values
ΔE to the lowest computed polymorph, meV per atom: 852
ρ, Mg/m³: 5.150
Uncorrected energy, eV per cell: -12.7
Density of states at the Fermi level, states/eV per cell: 2.15
Space group: No. 123



Record 26
CdSb2IF: relaxed, GGA-PBE.

```
CdSb2IF
1.0
5.549 0.000 0.000
0.000 5.549 0.000
0.000 0.000 5.777
Cd Sb I F
1 2 1 1
Cartesian
0.000 0.000 0.000 Cd
0.000 2.775 0.000 Sb
2.775 0.000 0.000 Sb
0.000 0.000 2.889 I
2.775 2.775 2.889 F
```

Calculated values
ΔE to the lowest computed polymorph, meV per atom: 462
ρ, Mg/m³: 4.684
Uncorrected energy, eV per cell: -10.7
Density of states at the Fermi level, states/eV per cell: 4.20
Space group: No. 123



Record 27
CdSbI2F: relaxed, GGA-PBE.

```
CdSbI2F
1.0
6.067 0.000 0.000
0.000 6.067 0.000
0.000 0.000 4.234
Cd Sb I F
1 1 2 1
Cartesian
0.000 0.000 0.000 Cd
3.033 3.033 0.000 Sb
0.000 3.033 2.117 I
3.033 0.000 2.117 I
3.033 3.033 2.117 F
```

Calculated values
ΔE to the lowest computed polymorph, meV per atom: 0
ρ, Mg/m³: 5.402
Uncorrected energy, eV per cell: -11.4
Density of states at the Fermi level, states/eV per cell: 4.01
Space group: No. 123



Record 28
CdSnIF2: relaxed, GGA-PBE.

```
CdSnIF2
1.0
4.446 0.000 0.000
0.000 4.446 0.000
0.000 0.000 6.142
Cd Sn I F
1 1 1 2
Cartesian
0.000 0.000 0.000 Cd
0.000 0.000 3.071 Sn
2.223 2.223 0.000 I
0.000 2.223 3.071 F
2.223 0.000 3.071 F
```

Calculated values
ΔE to the lowest computed polymorph, meV per atom: 0
ρ, Mg/m³: 5.416
Uncorrected energy, eV per cell: -16.8
Density of states at the Fermi level, states/eV per cell: 1.83
Space group: No. 123



Record 29
CdSnIF2: relaxed, GGA-PBE.

```
CdSnIF2
1.0
4.506 0.000 0.000
0.000 4.506 0.000
0.000 0.000 6.269
Cd Sn I F
1 1 1 2
Cartesian
0.000 0.000 0.000 Cd
2.253 2.253 3.134 Sn
0.000 0.000 3.134 I
0.000 2.253 0.000 F
2.253 0.000 0.000 F
```

Calculated values
ΔE to the lowest computed polymorph, meV per atom: 258
ρ, Mg/m³: 5.167
Uncorrected energy, eV per cell: -15.5
Density of states at the Fermi level, states/eV per cell: 3.38
Space group: No. 123